Record 1
{"formula": "KSr2H2", "functional": "GGA-PBEsol", "state": "relaxed", "lattice_angstrom": [[-4.452, -1.222, -0.128], [2.198, -8.139, 1.304], [-0.570, 1.197, 8.427]], "species": ["Sr", "H", "K", "Sr", "H", "Sr", "K", "H", "Sr", "H"], "frac_coords": [[0.500, 0.825, 0.325], [0.000, 0.731, 0.769], [0.000, 0.000, 0.000], [0.500, 0.175, 0.675], [0.000, 0.269, 0.231], [0.500, 0.325, 0.175], [0.000, 0.500, 0.500], [0.000, 0.769, 0.269], [0.500, 0.675, 0.825], [0.000, 0.231, 0.731]], "e_above_lowest_polymorph_mev_per_atom": 316, "density_g_cm3": 2.138, "dft_energy_ev_per_atom": -2.24}

---

Record 2
{"formula": "Ni2SbRh", "functional": "GGA-PBEsol", "state": "relaxed", "lattice_angstrom": [[3.732, 0.000, 0.000], [0.000, 3.775, 0.000], [0.000, 0.000, 3.775]], "species": ["Sb", "Rh", "Ni", "Ni"], "frac_coords": [[0.500, 0.000, 0.000], [0.500, 0.500, 0.500], [0.000, 0.000, 0.500], [0.000, 0.500, 0.000]], "density_g_cm3": 10.680, "dft_energy_ev_per_atom": -6.48, "e_form_raw_ev_per_atom": -0.2274}

---

Record 3
{"formula": "Ta2As", "functional": "GGA-PBEsol", "state": "relaxed", "lattice_angstrom": [[3.449, 0.000, 0.000], [0.000, 11.810, 0.000], [0.000, 0.000, 14.760]], "species": ["Ta", "Ta", "As", "Ta", "As", "Ta", "Ta", "Ta", "As", "Ta", "Ta", "Ta", "As", "As", "Ta", "Ta", "Ta", "Ta", "As", "Ta", "Ta", "Ta", "As", "Ta", "Ta", "As", "Ta", "As", "Ta", "As", "Ta", "Ta", "As", "Ta", "As", "Ta"], "frac_coords": [[0.000, 0.858, 0.523], [0.000, 0.472, 0.109], [0.500, 0.189, 0.349], [0.000, 0.586, 0.421], [0.500, 0.811, 0.651], [0.500, 0.028, 0.609], [0.000, 0.142, 0.477], [0.500, 0.419, 0.743], [0.000, 0.689, 0.151], [0.500, 0.086, 0.079], [0.000, 0.806, 0.298], [0.000, 0.115, 0.928], [0.000, 0.753, 0.919], [0.500, 0.921, 0.204], [0.500, 0.914, 0.921], [0.500, 0.358, 0.977], [0.000, 0.414, 0.579], [0.500, 0.694, 0.798], [0.000, 0.421, 0.296], [0.500, 0.642, 0.023], [0.500, 0.581, 0.257], [0.000, 0.194, 0.702], [0.500, 0.747, 0.419], [0.000, 0.919, 0.757], [0.000, 0.885, 0.072], [0.000, 0.579, 0.704], [0.500, 0.615, 0.572], [0.500, 0.079, 0.796], [0.000, 0.528, 0.891], [0.500, 0.253, 0.581], [0.500, 0.385, 0.428], [0.000, 0.081, 0.243], [0.000, 0.311, 0.849], [0.500, 0.972, 0.391], [0.000, 0.247, 0.081], [0.500, 0.306, 0.202]], "density_g_cm3": 14.475, "dft_energy_ev_per_atom": -10.52, "formation_energy_kj_per_mol_atoms": -43}

---

Record 4
{"formula": "YCuP2", "functional": "GGA-PBEsol", "state": "relaxed", "lattice_angstrom": [[-2.947, -2.111, 0.628], [1.052, -0.427, 3.499], [-5.055, 7.790, 2.471]], "species": ["Y", "P", "P", "P", "Cu", "P", "Y", "Cu"], "frac_coords": [[0.000, 0.500, 0.767], [0.500, 0.500, 0.000], [0.000, 0.000, 0.000], [0.000, 0.500, 0.345], [0.000, 0.000, 0.500], [0.500, 0.000, 0.655], [0.500, 0.000, 0.233], [0.500, 0.500, 0.500]], "density_g_cm3": 5.475, "dft_energy_ev_per_atom": -6.63, "formation_energy_kj_per_mol_atoms": -91}

---

Record 5
{"formula": "In2HIr", "functional": "GGA-PBEsol", "state": "relaxed", "lattice_angstrom": [[-1.032, 2.329, -3.690], [0.126, -1.991, -4.016], [-3.813, -0.857, -2.198]], "species": ["Ir", "In", "In", "H"], "frac_coords": [[0.500, 0.500, 0.500], [0.750, 0.750, 0.750], [0.250, 0.250, 0.250], [0.000, 0.000, 0.000]], "density_g_cm3": 11.013, "dft_energy_ev_per_atom": -4.38}

---

Record 6
{"formula": "YAg2Rh", "functional": "GGA-PBEsol", "state": "relaxed", "lattice_angstrom": [[-1.550, -3.944, 2.004], [-1.024, -3.730, -2.648], [2.747, -3.796, 0.136]], "species": ["Ag", "Ag", "Rh", "Y"], "frac_coords": [[0.250, 0.250, 0.250], [0.750, 0.750, 0.750], [0.000, 0.000, 0.000], [0.500, 0.500, 0.500]], "e_above_lowest_polymorph_mev_per_atom": 242, "density_g_cm3": 9.292, "dft_energy_ev_per_atom": -5.56, "formation_energy_kj_per_mol_atoms": -16}

---

Record 7
{"formula": "SiPWSe2", "functional": "GGA-PBEsol", "state": "relaxed", "lattice_angstrom": [[4.620, 0.000, 0.000], [0.000, 4.620, 0.000], [0.000, 0.000, 4.726]], "species": ["P", "Se", "Se", "W", "Si"], "frac_coords": [[0.500, 0.500, 0.500], [0.500, 0.000, 0.000], [0.000, 0.500, 0.000], [0.000, 0.000, 0.500], [0.000, 0.000, 0.000]], "density_g_cm3": 6.598, "dft_energy_ev_per_atom": -5.19, "e_form_raw_ev_per_atom": 1.4193}

---

Record 8
{"formula": "HfBe3Fe", "functional": "GGA-PBEsol", "state": "relaxed", "lattice_angstrom": [[3.879, 0.000, 0.000], [0.000, 3.879, 0.000], [0.000, 0.000, 3.879]], "species": ["Hf", "Be", "Fe", "Be", "Be"], "frac_coords": [[0.500, 0.500, 0.500], [0.500, 0.000, 0.000], [0.000, 0.000, 0.000], [0.000, 0.000, 0.500], [0.000, 0.500, 0.000]], "density_g_cm3": 7.436, "dft_energy_ev_per_atom": -6.17, "formation_energy_kj_per_mol_atoms": 12}

---

Record 9
{"formula": "AcHgAu2", "functional": "GGA-PBEsol", "state": "relaxed", "lattice_angstrom": [[5.131, 0.000, 0.000], [2.566, 4.444, 0.000], [2.566, 1.481, 4.190]], "species": ["Ac", "Au", "Au", "Hg"], "frac_coords": [[0.500, 0.500, 0.500], [0.750, 0.750, 0.750], [0.250, 0.250, 0.250], [0.000, 0.000, 0.000]], "density_g_cm3": 14.279, "dft_energy_ev_per_atom": -3.81, "formation_energy_kj_per_mol_atoms": -56}

---

Record 10
{"formula": "AlFeIr2", "functional": "GGA-PBEsol", "state": "relaxed", "lattice_angstrom": [[2.682, 0.001, 0.000], [-1.265, 2.365, 0.000], [0.000, 0.000, 8.575]], "species": ["Ir", "Ir", "Al", "Fe"], "frac_coords": [[0.000, 0.000, 0.014], [0.500, 0.500, 0.735], [0.000, 0.000, 0.494], [0.500, 0.500, 0.257]], "density_g_cm3": 14.262, "dft_energy_ev_per_atom": -8.16, "formation_energy_kj_per_mol_atoms": 2}

---

Record 11
{"formula": "YTiPt3", "functional": "GGA-PBEsol", "state": "relaxed", "lattice_angstrom": [[-3.285, -3.308, 0.336], [2.011, -1.601, 3.903], [-2.648, 2.888, 2.549]], "species": ["Ti", "Pt", "Y", "Pt", "Pt"], "frac_coords": [[0.000, 0.000, 0.000], [0.000, 0.500, 0.000], [0.500, 0.500, 0.500], [0.000, 0.000, 0.500], [0.500, 0.000, 0.000]], "e_above_lowest_polymorph_mev_per_atom": 0, "density_g_cm3": 11.741, "dft_energy_ev_per_atom": -7.48, "formation_energy_kj_per_mol_atoms": -26}

---

Record 12
{"formula": "Sc3Tl", "functional": "GGA-PBEsol", "state": "relaxed", "lattice_angstrom": [[3.337, 0.000, 0.000], [0.000, 3.337, 0.000], [0.000, 0.000, 8.242]], "species": ["Sc", "Tl", "Sc", "Sc"], "frac_coords": [[0.000, 0.000, 0.259], [0.500, 0.500, 0.500], [0.500, 0.500, 0.000], [0.000, 0.000, 0.741]], "density_g_cm3": 6.138, "dft_energy_ev_per_atom": -5.80, "formation_energy_kj_per_mol_atoms": -18}

---

Record 13
{"formula": "Al2WO2", "functional": "GGA-PBEsol", "state": "relaxed", "lattice_angstrom": [[3.235, 0.000, 0.000], [0.000, 3.235, 0.000], [-1.617, -1.617, 6.050]], "species": ["Al", "Al", "W", "O", "O"], "frac_coords": [[0.326, 0.326, 0.652], [0.674, 0.674, 0.348], [0.000, 0.000, 0.000], [0.750, 0.250, 0.500], [0.250, 0.750, 0.500]], "density_g_cm3": 7.077, "dft_energy_ev_per_atom": -7.42, "e_form_raw_ev_per_atom": -0.9210}

---

Record 14
{"formula": "Mo2Pt", "functional": "GGA-PBEsol", "state": "relaxed", "lattice_angstrom": [[-1.668, -2.064, -0.180], [3.289, -1.296, 4.030], [-4.776, 3.591, 3.058]], "species": ["Pt", "Mo", "Mo", "Mo", "Pt", "Mo"], "frac_coords": [[0.469, 0.938, 0.193], [0.864, 0.728, 0.479], [0.809, 0.617, 0.860], [0.191, 0.383, 0.140], [0.531, 0.062, 0.807], [0.136, 0.272, 0.521]], "e_above_lowest_polymorph_mev_per_atom": 6, "density_g_cm3": 14.243, "dft_energy_ev_per_atom": -10.33, "formation_energy_kj_per_mol_atoms": -16}

---

Record 15
{"formula": "YTa2NiSe", "functional": "GGA-PBEsol", "state": "relaxed", "lattice_angstrom": [[-3.683, 0.921, -2.596], [1.389, -3.123, -3.078], [-2.532, -3.457, 2.365]], "species": ["Ta", "Ni", "Y", "Se", "Ta"], "frac_coords": [[0.500, 0.000, 0.000], [0.000, 0.000, 0.000], [0.500, 0.500, 0.500], [0.000, 0.000, 0.500], [0.000, 0.500, 0.000]], "density_g_cm3": 9.437, "dft_energy_ev_per_atom": -7.76, "e_form_raw_ev_per_atom": 0.6291}

---

Record 16
{"formula": "YZr2Zn", "functional": "GGA-PBEsol", "state": "relaxed", "lattice_angstrom": [[3.308, 0.000, 0.000], [0.000, 4.962, 0.000], [-1.654, -2.481, 5.352]], "species": ["Zn", "Zr", "Zr", "Y"], "frac_coords": [[0.000, 0.500, 0.000], [0.283, 0.283, 0.566], [0.717, 0.717, 0.434], [0.500, 0.000, 0.000]], "density_g_cm3": 6.367, "dft_energy_ev_per_atom": -6.77, "formation_energy_kj_per_mol_atoms": -12}

---

Record 17
{"formula": "TeIrI3", "functional": "GGA-PBEsol", "state": "relaxed", "lattice_angstrom": [[5.283, 0.000, 0.000], [0.000, 5.283, 0.000], [0.000, 0.000, 5.283]], "species": ["Ir", "I", "Te", "I", "I"], "frac_coords": [[0.000, 0.000, 0.000], [0.000, 0.000, 0.500], [0.500, 0.500, 0.500], [0.000, 0.500, 0.000], [0.500, 0.000, 0.000]], "density_g_cm3": 7.889, "dft_energy_ev_per_atom": -3.29, "e_form_raw_ev_per_atom": 0.4399}

---

Record 18
{"formula": "BeInN2O", "functional": "GGA-PBEsol", "state": "relaxed", "lattice_angstrom": [[-2.784, 2.964, 0.464], [-2.863, -2.854, 1.053], [1.086, 0.392, 4.014]], "species": ["O", "N", "In", "N", "Be"], "frac_coords": [[0.500, 0.000, 0.000], [0.000, 0.000, 0.500], [0.000, 0.000, 0.000], [0.000, 0.500, 0.000], [0.500, 0.500, 0.500]], "density_g_cm3": 3.903, "dft_energy_ev_per_atom": -4.30, "e_form_raw_ev_per_atom": 1.5595}

---

Record 19
{"formula": "KRu2Pt", "functional": "GGA-PBEsol", "state": "relaxed", "lattice_angstrom": [[3.868, 0.000, 0.000], [0.000, 3.868, 0.000], [0.000, 0.000, 4.375]], "species": ["Ru", "K", "Pt", "Ru"], "frac_coords": [[0.000, 0.500, 0.000], [0.500, 0.500, 0.500], [0.000, 0.000, 0.500], [0.500, 0.000, 0.000]], "e_above_lowest_polymorph_mev_per_atom": 30, "density_g_cm3": 11.070, "dft_energy_ev_per_atom": -5.78, "formation_energy_kj_per_mol_atoms": 128}

---

Record 20
{"formula": "AlCu2Au", "functional": "GGA-PBEsol", "state": "relaxed", "lattice_angstrom": [[-2.709, 0.973, -1.199], [0.088, -2.320, -2.081], [-2.742, -3.277, 3.537]], "species": ["Al", "Cu", "Au", "Cu"], "frac_coords": [[0.500, 0.500, 0.000], [0.000, 0.000, 0.231], [0.500, 0.500, 0.500], [0.000, 0.000, 0.769]], "density_g_cm3": 10.808, "dft_energy_ev_per_atom": -4.36, "formation_energy_kj_per_mol_atoms": -19}

---

Record 21
{"formula": "PPtCl", "functional": "GGA-PBEsol", "state": "relaxed", "lattice_angstrom": [[-1.815, 2.279, -0.799], [0.749, -0.420, -2.897], [-3.820, -4.604, 1.256]], "species": ["Cl", "Pt", "P"], "frac_coords": [[0.977, 0.977, 0.953], [0.316, 0.316, 0.633], [0.707, 0.707, 0.414]], "density_g_cm3": 8.306, "dft_energy_ev_per_atom": -4.88, "e_form_raw_ev_per_atom": 0.0438}

---

Record 22
{"formula": "TlCl3", "functional": "GGA-PBEsol", "state": "relaxed", "lattice_angstrom": [[5.150, 0.000, 0.000], [0.000, 5.063, 0.000], [0.000, 2.531, 3.823]], "species": ["Cl", "Cl", "Tl", "Cl"], "frac_coords": [[0.000, 0.500, 0.000], [0.500, 0.000, 0.500], [0.000, 0.000, 0.000], [0.500, 0.500, 0.500]], "density_g_cm3": 5.176, "dft_energy_ev_per_atom": -2.51, "e_form_raw_ev_per_atom": -0.3470}

---

Record 23
{"formula": "BaScFe2", "functional": "GGA-PBEsol", "state": "relaxed", "lattice_angstrom": [[4.814, 0.000, 0.000], [2.407, 4.169, 0.000], [2.407, 1.390, 3.931]], "species": ["Sc", "Fe", "Fe", "Ba"], "frac_coords": [[0.500, 0.500, 0.500], [0.250, 0.250, 0.250], [0.750, 0.750, 0.750], [0.000, 0.000, 0.000]], "e_above_lowest_polymorph_mev_per_atom": 528, "density_g_cm3": 6.188, "dft_energy_ev_per_atom": -5.89, "formation_energy_kj_per_mol_atoms": 75}

---

Record 24
{"formula": "Al2FeRh", "functional": "GGA-PBEsol", "state": "relaxed", "lattice_angstrom": [[2.906, 0.000, 0.000], [0.000, 4.064, 0.000], [-1.453, -2.032, 4.369]], "species": ["Al", "Rh", "Al", "Fe"], "frac_coords": [[0.764, 0.264, 0.528], [0.246, 0.746, 0.492], [0.991, 0.991, 0.982], [0.499, 0.499, 0.998]], "density_g_cm3": 6.845, "dft_energy_ev_per_atom": -6.83, "formation_energy_kj_per_mol_atoms": -49}

---

Record 25
{"formula": "CuTe", "functional": "GGA-PBEsol", "state": "relaxed", "lattice_angstrom": [[-2.315, 0.608, -2.068], [1.894, -2.137, -2.748], [-3.364, -5.677, 2.096]], "species": ["Cu", "Te", "Te", "Cu"], "frac_coords": [[0.000, 0.500, 0.462], [0.000, 0.000, 0.223], [0.500, 0.500, 0.777], [0.500, 0.000, 0.538]], "density_g_cm3": 7.314, "dft_energy_ev_per_atom": -3.98, "e_form_raw_ev_per_atom": -0.0516}

---

Record 26
{"formula": "MnTc2Te", "functional": "GGA-PBEsol", "state": "relaxed", "lattice_angstrom": [[-0.784, 2.074, 2.154], [1.572, -1.608, 2.120], [5.167, 3.320, -1.315]], "species": ["Mn", "Tc", "Tc", "Te"], "frac_coords": [[0.500, 0.500, 0.761], [0.500, 0.500, 0.227], [0.000, 0.000, 0.992], [0.000, 0.000, 0.521]], "density_g_cm3": 10.476, "dft_energy_ev_per_atom": -8.60, "e_form_raw_ev_per_atom": 0.3580}

---

Record 27
{"formula": "Sr2LiTl", "functional": "GGA-PBEsol", "state": "relaxed", "lattice_angstrom": [[4.071, 0.000, 0.000], [0.000, 4.071, 0.000], [0.000, 0.000, 8.250]], "species": ["Li", "Tl", "Sr", "Sr"], "frac_coords": [[0.500, 0.500, 0.500], [0.500, 0.500, 0.000], [0.000, 0.000, 0.766], [0.000, 0.000, 0.234]], "e_above_lowest_polymorph_mev_per_atom": 22, "density_g_cm3": 4.696, "dft_energy_ev_per_atom": -2.32, "formation_energy_kj_per_mol_atoms": -24}

---

Record 28
{"formula": "NiIr2Rh", "functional": "GGA-PBEsol", "state": "relaxed", "lattice_angstrom": [[-1.168, 2.244, 0.857], [-2.539, 0.517, -0.650], [-3.849, -3.114, 7.069]], "species": ["Ir", "Ni", "Ir", "Rh"], "frac_coords": [[0.753, 0.753, 0.740], [0.500, 0.500, 0.500], [0.247, 0.247, 0.260], [0.000, 0.000, 0.000]], "density_g_cm3": 17.277, "dft_energy_ev_per_atom": -8.48, "formation_energy_kj_per_mol_atoms": 1}